Record 1
Here is a geometry-optimized Sm6AgRh5 structure from Alexandria via LeMat-Bulk. Energies are from GGA-PBE.

Properties
The value obtained for the formation energy is -0.65 eV/atom.

Lattice parameters (Å, degrees): 4.983 8.646 8.646 119.86 106.76 106.76
Atoms (fractional coordinates):
Rh 0.000 0.334 0.666
Ag 0.000 0.000 0.000
Sm 0.240 0.740 0.740
Rh 0.500 0.165 0.835
Sm 0.745 0.916 0.575
Sm 0.255 0.425 0.084
Sm 0.745 0.575 0.916
Sm 0.255 0.084 0.425
Sm 0.760 0.260 0.260
Rh 0.500 0.835 0.165
Rh 0.500 0.500 0.500
Rh 0.000 0.666 0.334

Record 2
Here is a geometry-optimized Nb2TcHPt structure from Alexandria via LeMat-Bulk. Energies are from GGA-PBE.

Properties
The calculation puts the energy above the most stable polymorph in this dataset at 0 meV per atom.

Lattice parameters (Å, degrees): 4.167 4.167 3.907 90.00 90.00 90.00
Atoms (fractional coordinates):
H 0.000 0.000 0.000
Nb 0.500 0.000 0.000
Tc 0.000 0.000 0.500
Nb 0.000 0.500 0.000
Pt 0.500 0.500 0.500